First-principles (PBE) data for a relaxed PmDy6Ho12 crystal, as listed in Alexandria via LeMat-Bulk.

Structure (POSCAR):
```
PmDy6Ho12
1.0
7.6997 4.4454 2.8871
-7.6997 4.4454 2.8871
0.0000 -8.8909 2.8871
Pm Dy Ho
1 6 12
Direct
0.0000 0.0000 0.0000
0.0528 0.5786 0.3685
0.3685 0.0528 0.5786
0.4214 0.6315 0.9472
0.5786 0.3685 0.0528
0.6315 0.9472 0.4214
0.9472 0.4214 0.6315
0.1059 0.1584 0.7366
0.1584 0.7366 0.1059
0.2108 0.3165 0.4748
0.2634 0.8941 0.8416
0.3165 0.4748 0.2108
0.4748 0.2108 0.3165
0.5252 0.7892 0.6835
0.6835 0.5252 0.7892
0.7366 0.1059 0.1584
0.7892 0.6835 0.5252
0.8416 0.2634 0.8941
0.8941 0.8416 0.2634
```

Values from the calculation:
**Offset from the most stable computed form**: 0.0000 eV/atom
**V**: 31.207 Å³/atom
**Total energy**: -0.1682 Ha/atom
**Crystal system**: trigonal